No. 1
# Rb3GaS

Crystalline Rb3GaS at its relaxed geometry (PBE, Alexandria).

The value obtained for the energy above the most stable polymorph in this dataset is 0.0 kJ/mol of atoms. The uncorrected formation energy is -278 meV/atom.

It has space group Pm-3m (No. 221), with a = 6.420 Å, b = 6.420 Å, c = 6.420 Å, α = 90.00°, β = 90.00° and γ = 90.00°. The asymmetric unit holds Rb at (0.000, 0.000, 0.500), Ga at (0.500, 0.500, 0.500) and S at (0.000, 0.000, 0.000).

No. 2
# PuPdRhPb

Crystalline PuPdRhPb at its relaxed geometry (PBE, Alexandria).

The formation enthalpy at 0 K comes out at -1.22 eV per formula unit.

It has space group F-43m (No. 216), with a = 6.866 Å, b = 6.866 Å, c = 6.866 Å, α = 90.00°, β = 90.00° and γ = 90.00°. The asymmetric unit holds Pu at (0.000, 0.000, 0.000), Pd at (0.250, 0.250, 0.250), Rh at (0.250, 0.250, 0.750) and Pb at (0.000, 0.000, 0.500).

| no. | D(E_F) (states/eV/f.u.) |
| --- | --- |
| 1 | 4.1 |
| 2 | 10.6 |